No. 1
Computed, not measured: a geometry-optimized OsRuCl structure at the PBE level of DFT.

Output
The calculation puts the polymorph energy (0 for the lowest one) at 0.6125 eV/atom. The symmetry is F-43m (216). The value obtained for the density of states at the Fermi level is 3.7 states/eV/f.u. The uncorrected formation energy comes out at 3.33 eV/f.u.

a b c (Å): 4.1950 4.1950 4.1950
angles (deg): 60.00 60.00 60.00
Closest atoms and distances in Å follow each position.
Fractional coordinates of all 3 atoms:
Os: 0.0000 0.0000 0.0000  4 Cl 2.57, 4 Ru 2.57
Ru: 0.2500 0.2500 0.2500  4 Os 2.57
Cl: 0.7500 0.7500 0.7500  4 Os 2.57

***

No. 2
Computed, not measured: a geometry-optimized NbTlTe4 structure at the PBE level of DFT.

Output
The calculation puts the polymorph energy (0 for the lowest one) at 0.0556 eV/atom. The symmetry is C2/m (12). The value obtained for the density of states at the Fermi level is 4.9 states/eV/f.u. The uncorrected formation energy comes out at -1.28 eV/f.u.

a b c (Å): 8.9025 8.9025 6.0680
angles (deg): 92.55 92.55 57.29
Closest atoms and distances in Å follow each position.
Fractional coordinates of all 12 atoms:
Nb: 0.0167 0.0167 0.2665  7 Te 2.83-3.00, 1 Nb 2.91
Nb: 0.9833 0.9833 0.7335  7 Te 2.83-3.00, 1 Nb 2.91
Tl: 0.3023 0.3023 0.7670  6 Te 3.36-3.63
Tl: 0.6977 0.6977 0.2330  6 Te 3.36-3.63
Te: 0.0947 0.6811 0.4049  2 Nb 2.84-3.00, 2 Te 3.14
Te: 0.1986 0.1986 0.2396  1 Nb 2.86, 2 Te 3.14
Te: 0.2718 0.7282 0.0000  2 Nb 2.83, 2 Te 3.14
Te: 0.3189 0.9053 0.5951  2 Nb 2.84-3.00, 2 Te 3.14
Te: 0.6811 0.0947 0.4049  2 Nb 2.84-3.00, 2 Te 3.14
Te: 0.7282 0.2718 0.0000  2 Nb 2.83, 2 Te 3.14
Te: 0.8014 0.8014 0.7604  1 Nb 2.86, 2 Te 3.14
Te: 0.9053 0.3189 0.5951  2 Nb 2.84-3.00, 2 Te 3.14

***

No. 3
Computed, not measured: a geometry-optimized Cs5Au3O structure at the PBE level of DFT.

Output
The symmetry is I4/mcm (140). The uncorrected formation energy comes out at -4.89 eV/f.u.

a b c (Å): 11.1522 11.1522 11.1522
angles (deg): 130.47 130.47 72.66
Closest atoms and distances in Å follow each position.
Fractional coordinates of all 18 atoms:
Cs: 0.0000 0.0000 0.0000  4 Au 3.76
Cs: 0.9998 0.4998 0.1890  1 O 2.67
Cs: 0.0002 0.5002 0.8110  1 O 2.67
Cs: 0.1892 0.0002 0.5000  1 O 2.67
Cs: 0.3108 0.8108 0.8110  1 O 2.67
Cs: 0.4998 0.3108 0.5000  1 O 2.67
Cs: 0.5000 0.5000 0.0000  4 Au 3.76
Cs: 0.5002 0.6892 0.5000  1 O 2.67
Cs: 0.6892 0.1892 0.1890  1 O 2.67
Cs: 0.8108 0.9998 0.5000  1 O 2.67
Au: 0.1145 0.3855 0.5000  1 Au 3.03
Au: 0.2500 0.2500 0.0000  8 Cs 3.92
Au: 0.3855 0.8855 0.2710  1 Au 3.03
Au: 0.6145 0.1145 0.7290  1 Au 3.03
Au: 0.7500 0.7500 0.0000  8 Cs 3.92
Au: 0.8855 0.6145 0.5000  1 Au 3.03
O: 0.2500 0.7500 0.5000  4 Cs 2.67
O: 0.7500 0.2500 0.5000  4 Cs 2.67

***

No. 4
Computed, not measured: a geometry-optimized TcAgRu2 structure at the PBE level of DFT.

Output
The calculation puts the polymorph energy (0 for the lowest one) at 0.1702 eV/atom. The calculation puts the formation energy at 0.37 eV per atom. The symmetry is Pmmm (47). The value obtained for the density of states at the Fermi level is 5.2 states/eV/f.u.

a b c (Å): 2.7454 3.8442 5.6891
angles (deg): 90.00 90.00 90.00
Closest atoms and distances in Å follow each position.
Fractional coordinates of all 4 atoms:
Tc: 0.0000 0.0000 0.0000  8 Ru 2.69, 2 Tc 2.75, 2 Ag 2.84
Ag: 0.0000 0.0000 0.5000  2 Ag 2.75, 8 Ru 2.83, 2 Tc 2.84
Ru: 0.5000 0.5000 0.2271  3 Ru 2.58-2.75, 4 Tc 2.69, 4 Ag 2.83
Ru: 0.5000 0.5000 0.7729  3 Ru 2.58-2.75, 4 Tc 2.69, 4 Ag 2.83